Entry 1:
The following is a GGA-PBE calculation of a geometry-optimized Au2ICl6 structure, from the Alexandria database.

Calculated values
Energy above the most stable polymorph in this dataset, eV per atom: 0.000
ΔE_f (raw), kcal/mol of atoms: -4.313

Lattice parameters (Å, degrees): 10.991 14.636 7.886 90.00 97.10 90.00
Space group C2/c (No. 15)
Symmetry-distinct sites (fractional):
Au (0.124, 0.000, 0.277)
I (0.000, 0.369, 0.250)
Cl (0.117, 0.091, 0.526)
Cl (0.142, 0.497, 0.661)
Cl (0.145, 0.256, 0.168)



Entry 2:
The following is a GGA-PBE calculation of a geometry-optimized AuI2Cl structure, from the Alexandria database.

Calculated values
Energy above the most stable polymorph in this dataset, eV per atom: 0.032
ΔE_f (raw), kcal/mol of atoms: -0.879

Lattice parameters (Å, degrees): 4.679 6.313 11.191 90.00 89.98 89.94
Space group P1 (No. 1)
Symmetry-distinct sites (fractional):
Au (0.000, 0.000, 0.000)
Au (0.494, 0.120, 0.500)
I (0.497, 0.376, 0.699)
I (0.499, 0.004, 0.873)
I (0.995, 0.116, 0.373)
I (0.996, 0.744, 0.199)
Cl (0.495, 0.696, 0.559)
Cl (0.997, 0.423, 0.059)